Record 1
# TaCuTc2 (PBE, relaxed)
data_TaCuTc2
_chemical_formula_sum 'Ta1 Cu1 Tc2'
_cell_length_a 2.665
_cell_length_b 2.665
_cell_length_c 8.457
_cell_angle_alpha 90.00
_cell_angle_beta 90.00
_cell_angle_gamma 90.00
_symmetry_space_group_name_H-M 'P 4/m m m'
_symmetry_Int_Tables_number 123
_symmetry_space_group_name_Hall '-P 4 2'
loop_
_atom_site_label
_atom_site_fract_x
_atom_site_fract_y
_atom_site_fract_z
Ta1 0.000 0.000 0.000
Cu1 0.000 0.000 0.500
Tc1 0.500 0.500 0.268
# final energy = -8.94 eV per atom
# excess energy over the best structure of this formula in the dataset = 250 meV/atom
# E_form = 227 meV per atom
# size of the total moment = 0.00 μB/atom

Record 2
# TaCu2Tc (PBE, relaxed)
data_TaCu2Tc
_chemical_formula_sum 'Ta4 Cu8 Tc4'
_cell_length_a 3.608
_cell_length_b 3.608
_cell_length_c 19.035
_cell_angle_alpha 90.00
_cell_angle_beta 90.00
_cell_angle_gamma 90.00
_symmetry_space_group_name_H-M 'I -4 2 d'
_symmetry_Int_Tables_number 122
_symmetry_space_group_name_Hall 'I -4 2bw'
loop_
_atom_site_label
_atom_site_fract_x
_atom_site_fract_y
_atom_site_fract_z
Ta1 0.000 0.000 0.000
Cu1 0.239 0.250 0.625
Tc1 0.000 0.000 0.500
# final energy = -7.14 eV per atom
# excess energy over the best structure of this formula in the dataset = 457 meV/atom
# E_form = 463 meV per atom
# size of the total moment = 0.00 μB/atom

Record 3
# TaCu2Tc (PBE, relaxed)
data_TaCu2Tc
_chemical_formula_sum 'Ta1 Cu2 Tc1'
_cell_length_a 2.663
_cell_length_b 3.911
_cell_length_c 5.527
_cell_angle_alpha 90.00
_cell_angle_beta 90.00
_cell_angle_gamma 90.00
_symmetry_space_group_name_H-M 'P m m 2'
_symmetry_Int_Tables_number 25
loop_
_symmetry_equiv_pos_as_xyz
'x,y,z'
'-x,-y,z'
'-x,y,z'
'x,-y,z'
loop_
_atom_site_label
_atom_site_fract_x
_atom_site_fract_y
_atom_site_fract_z
Ta1 0.000 0.000 0.000
Cu1 0.000 0.000 0.515
Cu2 0.500 0.500 0.736
Tc1 0.500 0.500 0.264
# final energy = -7.48 eV per atom
# excess energy over the best structure of this formula in the dataset = 114 meV/atom
# E_form = 119 meV per atom
# size of the total moment = 0.00 μB/atom

Record 4
# Ta2CuTc (PBE, relaxed)
data_Ta2CuTc
_chemical_formula_sum 'Ta4 Cu2 Tc2'
_cell_length_a 3.298
_cell_length_b 4.449
_cell_length_c 8.697
_cell_angle_alpha 90.00
_cell_angle_beta 90.00
_cell_angle_gamma 90.00
_symmetry_space_group_name_H-M 'C m m 2'
_symmetry_Int_Tables_number 35
loop_
_symmetry_equiv_pos_as_xyz
'x,y,z'
'-x,-y,z'
'-x,y,z'
'x,-y,z'
'x+1/2,y+1/2,z'
'-x+1/2,-y+1/2,z'
'-x+1/2,y+1/2,z'
'x+1/2,-y+1/2,z'
loop_
_atom_site_label
_atom_site_fract_x
_atom_site_fract_y
_atom_site_fract_z
Ta1 0.000 0.000 0.000
Ta2 0.000 0.500 0.276
Cu1 0.000 0.500 0.756
Tc1 0.000 0.000 0.523
# final energy = -9.47 eV per atom
# E_form = 77 meV per atom
# size of the total moment = 0.00 μB/atom

Record 5
# TaCu2Tc (PBE, relaxed)
data_TaCu2Tc
_chemical_formula_sum 'Ta4 Cu8 Tc4'
_cell_length_a 6.095
_cell_length_b 6.095
_cell_length_c 6.095
_cell_angle_alpha 90.00
_cell_angle_beta 90.00
_cell_angle_gamma 90.00
_symmetry_space_group_name_H-M 'F m -3 m'
_symmetry_Int_Tables_number 225
_symmetry_space_group_name_Hall '-F 4 2 3'
loop_
_atom_site_label
_atom_site_fract_x
_atom_site_fract_y
_atom_site_fract_z
Ta1 0.000 0.000 0.000
Cu1 0.250 0.250 0.250
Tc1 0.000 0.000 0.500
# final energy = -7.34 eV per atom
# excess energy over the best structure of this formula in the dataset = 261 meV/atom
# E_form = 267 meV per atom
# size of the total moment = 0.00 μB/atom

Record 6
# TaCuTc2 (PBE, relaxed)
data_TaCuTc2
_chemical_formula_sum 'Ta1 Cu1 Tc2'
_cell_length_a 2.948
_cell_length_b 2.948
_cell_length_c 6.955
_cell_angle_alpha 90.00
_cell_angle_beta 90.00
_cell_angle_gamma 90.00
_symmetry_space_group_name_H-M 'P 4 m m'
_symmetry_Int_Tables_number 99
loop_
_symmetry_equiv_pos_as_xyz
'x,y,z'
'-y,x,z'
'-x,-y,z'
'y,-x,z'
'-x,y,z'
'y,x,z'
'x,-y,z'
'-y,-x,z'
loop_
_atom_site_label
_atom_site_fract_x
_atom_site_fract_y
_atom_site_fract_z
Ta1 0.000 0.000 0.000
Cu1 0.500 0.500 0.747
Tc1 0.000 0.000 0.501
Tc2 0.500 0.500 0.287
# final energy = -9.06 eV per atom
# excess energy over the best structure of this formula in the dataset = 129 meV/atom
# E_form = 106 meV per atom
# size of the total moment = 0.00 μB/atom

Record 7
# TaCuTc2 (PBE, relaxed)
data_TaCuTc2
_chemical_formula_sum 'Ta2 Cu2 Tc4'
_cell_length_a 3.901
_cell_length_b 3.901
_cell_length_c 7.791
_cell_angle_alpha 90.00
_cell_angle_beta 90.00
_cell_angle_gamma 90.00
_symmetry_space_group_name_H-M 'I -4 m 2'
_symmetry_Int_Tables_number 119
_symmetry_space_group_name_Hall 'I -4 -2'
loop_
_atom_site_label
_atom_site_fract_x
_atom_site_fract_y
_atom_site_fract_z
Ta1 0.000 0.000 0.000
Cu1 0.000 0.500 0.250
Tc1 0.000 0.000 0.500
Tc2 0.000 0.500 0.750
# final energy = -9.14 eV per atom
# excess energy over the best structure of this formula in the dataset = 48 meV/atom
# E_form = 26 meV per atom
# size of the total moment = 0.00 μB/atom

Record 8
# TaCu2Tc (PBE, relaxed)
data_TaCu2Tc
_chemical_formula_sum 'Ta3 Cu6 Tc3'
_cell_length_a 2.7574
_cell_length_b 2.7574
_cell_length_c 26.6557
_cell_angle_alpha 90.00
_cell_angle_beta 90.00
_cell_angle_gamma 120.00
_symmetry_space_group_name_H-M 'R 3 m'
_symmetry_Int_Tables_number 160
_symmetry_space_group_name_Hall 'R 3 -2"'
loop_
_atom_site_label
_atom_site_fract_x
_atom_site_fract_y
_atom_site_fract_z
Ta1 0.0000 0.0000 0.0000
Cu1 0.0000 0.0000 0.4946
Cu2 0.0000 0.0000 0.7527
Tc1 0.0000 0.0000 0.2418
# final energy = -7.38 eV per atom
# excess energy over the best structure of this formula in the dataset = 219 meV/atom
# E_form = 225 meV per atom
# size of the total moment = 0.00 μB/atom

Record 9
# Ta3CuTc (PBE, relaxed)
data_Ta3CuTc
_chemical_formula_sum 'Ta3 Cu1 Tc1'
_cell_length_a 4.781
_cell_length_b 4.781
_cell_length_c 4.781
_cell_angle_alpha 90.00
_cell_angle_beta 90.00
_cell_angle_gamma 90.00
_symmetry_space_group_name_H-M 'P m -3 m'
_symmetry_Int_Tables_number 221
_symmetry_space_group_name_Hall '-P 4 2 3'
loop_
_atom_site_label
_atom_site_fract_x
_atom_site_fract_y
_atom_site_fract_z
Ta1 0.000 0.000 0.500
Cu1 0.500 0.500 0.500
Tc1 0.000 0.000 0.000
# final energy = -8.65 eV per atom
# excess energy over the best structure of this formula in the dataset = 0 meV/atom
# E_form = 1351 meV per atom
# size of the total moment = 0.00 μB/atom

Record 10
# Ta3CuTc (PBE, relaxed)
data_Ta3CuTc
_chemical_formula_sum 'Ta3 Cu1 Tc1'
_cell_length_a 4.576
_cell_length_b 4.576
_cell_length_c 4.576
_cell_angle_alpha 90.00
_cell_angle_beta 90.00
_cell_angle_gamma 90.00
_symmetry_space_group_name_H-M 'P m -3 m'
_symmetry_Int_Tables_number 221
_symmetry_space_group_name_Hall '-P 4 2 3'
loop_
_atom_site_label
_atom_site_fract_x
_atom_site_fract_y
_atom_site_fract_z
Ta1 0.000 0.000 0.500
Cu1 0.000 0.000 0.000
Tc1 0.500 0.500 0.500
# final energy = -8.64 eV per atom
# excess energy over the best structure of this formula in the dataset = 12 meV/atom
# E_form = 1363 meV per atom
# size of the total moment = 0.00 μB/atom

Record 11
# TaCuTc4 (PBE, relaxed)
data_TaCuTc4
_chemical_formula_sum 'Ta4 Cu4 Tc16'
_cell_length_a 7.223
_cell_length_b 7.223
_cell_length_c 7.223
_cell_angle_alpha 90.00
_cell_angle_beta 90.00
_cell_angle_gamma 90.00
_symmetry_space_group_name_H-M 'F -4 3 m'
_symmetry_Int_Tables_number 216
_symmetry_space_group_name_Hall 'F -4 2 3'
loop_
_atom_site_label
_atom_site_fract_x
_atom_site_fract_y
_atom_site_fract_z
Ta1 0.000 0.000 0.000
Cu1 0.250 0.250 0.250
Tc1 0.124 0.124 0.624
# final energy = -9.38 eV per atom
# E_form = 184 meV per atom
# size of the total moment = 0.00 μB/atom

Record 12
# TaCuTc2 (PBE, relaxed)
data_TaCuTc2
_chemical_formula_sum 'Ta2 Cu2 Tc4'
_cell_length_a 3.212
_cell_length_b 4.369
_cell_length_c 8.562
_cell_angle_alpha 90.00
_cell_angle_beta 90.00
_cell_angle_gamma 90.00
_symmetry_space_group_name_H-M 'C m m m'
_symmetry_Int_Tables_number 65
_symmetry_space_group_name_Hall '-C 2 2'
loop_
_atom_site_label
_atom_site_fract_x
_atom_site_fract_y
_atom_site_fract_z
Ta1 0.000 0.000 0.000
Cu1 0.000 0.000 0.500
Tc1 0.000 0.500 0.258
# final energy = -9.08 eV per atom
# excess energy over the best structure of this formula in the dataset = 111 meV/atom
# E_form = 89 meV per atom
# size of the total moment = 0.00 μB/atom

Record 13
# TaCuTc2 (PBE, relaxed)
data_TaCuTc2
_chemical_formula_sum 'Ta2 Cu2 Tc4'
_cell_length_a 5.405
_cell_length_b 8.908
_cell_length_c 2.695
_cell_angle_alpha 90.00
_cell_angle_beta 112.72
_cell_angle_gamma 90.00
_symmetry_space_group_name_H-M 'C 1 2/m 1'
_symmetry_Int_Tables_number 12
loop_
_symmetry_equiv_pos_as_xyz
'x,y,z'
'-x,-y,-z'
'-x,y,-z'
'x,-y,z'
'x+1/2,y+1/2,z'
'-x+1/2,-y+1/2,-z'
'-x+1/2,y+1/2,-z'
'x+1/2,-y+1/2,z'
loop_
_atom_site_label
_atom_site_fract_x
_atom_site_fract_y
_atom_site_fract_z
Ta1 0.000 0.000 0.000
Cu1 0.000 0.500 0.000
Tc1 0.250 0.250 0.500
# final energy = -9.07 eV per atom
# excess energy over the best structure of this formula in the dataset = 120 meV/atom
# E_form = 98 meV per atom
# size of the total moment = 0.00 μB/atom

Record 14
# Ta2CuTc (PBE, relaxed)
data_Ta2CuTc
_chemical_formula_sum 'Ta2 Cu1 Tc1'
_cell_length_a 2.783
_cell_length_b 4.108
_cell_length_c 5.670
_cell_angle_alpha 90.00
_cell_angle_beta 98.43
_cell_angle_gamma 90.00
_symmetry_space_group_name_H-M 'P 1 2/m 1'
_symmetry_Int_Tables_number 10
loop_
_symmetry_equiv_pos_as_xyz
'x,y,z'
'-x,-y,-z'
'-x,y,-z'
'x,-y,z'
loop_
_atom_site_label
_atom_site_fract_x
_atom_site_fract_y
_atom_site_fract_z
Ta1 0.087 0.000 0.256
Cu1 0.500 0.500 0.000
Tc1 0.500 0.500 0.500
# final energy = -9.51 eV per atom
# E_form = 32 meV per atom
# size of the total moment = 0.00 μB/atom

Record 15
# TaCuTc2 (PBE, relaxed)
data_TaCuTc2
_chemical_formula_sum 'Ta4 Cu4 Tc8'
_cell_length_a 6.203
_cell_length_b 6.203
_cell_length_c 6.203
_cell_angle_alpha 90.00
_cell_angle_beta 90.00
_cell_angle_gamma 90.00
_symmetry_space_group_name_H-M 'F m -3 m'
_symmetry_Int_Tables_number 225
_symmetry_space_group_name_Hall '-F 4 2 3'
loop_
_atom_site_label
_atom_site_fract_x
_atom_site_fract_y
_atom_site_fract_z
Ta1 0.000 0.000 0.000
Cu1 0.000 0.000 0.500
Tc1 0.250 0.250 0.250
# final energy = -9.08 eV per atom
# excess energy over the best structure of this formula in the dataset = 114 meV/atom
# E_form = 91 meV per atom
# size of the total moment = 0.00 μB/atom